This record from Alexandria describes Na2Co3NiF12 after structural relaxation. The functional is GGA+U.

For the total energy, the calculation gives -4.428 eV per atom.

It has space group R-3m (No. 166, hexagonal axes), with a = 7.1414 Å, b = 7.1414 Å, c = 17.5410 Å, α = 90.00°, β = 90.00° and γ = 120.00°. The distinct sites, in fractional coordinates, are Na at (0.0000, 0.0000, 0.1973), Co at (0.0000, 0.5000, 0.0000), Ni at (0.0000, 0.0000, 0.5000), F at (0.0545, 0.5273, 0.1063) and F at (0.0806, 0.5403, 0.3565).